# NbMoF2, relaxed, DFT PBE+U
data_NbMoF2
_symmetry_space_group_name_H-M 'P 1'
_symmetry_Int_Tables_number 1
_symmetry_space_group_name_Hall 'P 1'
_cell_length_a 8.0677
_cell_length_b 8.0677
_cell_length_c 8.0677
_cell_angle_alpha 20.12
_cell_angle_beta 20.12
_cell_angle_gamma 20.12
loop_
_atom_site_label
_atom_site_type_symbol
_atom_site_fract_x
_atom_site_fract_y
_atom_site_fract_z
F1 F 0.0993 0.0993 0.0993
F2 F 0.9007 0.9007 0.9007
Nb1 Nb 0.5000 0.5000 0.5000
Mo1 Mo 0.0000 0.0000 0.0000
# - size of the total moment (μB/f.u.) = 0.000
# - energy above the most stable polymorph in this dataset (eV per atom) = 0.080
# - calculated volume (Å³ per cell) = 54.4
# - final energy (eV for the cell shown) = -23.4